No. 1
First-principles (PBE-GGA) data for a geometry-optimized Hf5Mo3H12 structure, as listed in Alexandria.

Total DFT energy (no corrections) (eV/f.u.): -125.227
Mass density (g/cm3): 10.67
Space group: Ia-3d (230)

abc: 9.878 9.878 9.878
angles: 109.47 109.47 109.47
Element x y z (fractional)
Hf 0.875 0.250 0.625
Hf 0.750 0.125 0.875
Hf 0.750 0.625 0.375
Hf 0.500 0.500 0.500
Hf 0.000 0.500 0.500
Hf 0.500 0.000 0.500
Hf 0.500 0.500 0.000
Hf 0.250 0.375 0.625
Hf 0.375 0.125 0.750
Hf 0.000 0.000 0.000
Hf 0.125 0.750 0.375
Hf 0.625 0.750 0.875
Hf 0.000 0.000 0.500
Hf 0.875 0.625 0.750
Hf 0.375 0.250 0.125
Hf 0.000 0.500 0.000
Hf 0.250 0.875 0.125
Hf 0.625 0.875 0.250
Hf 0.500 0.000 0.000
Hf 0.125 0.375 0.250
H 0.267 0.427 0.847
H 0.073 0.920 0.340
H 0.080 0.153 0.420
H 0.653 0.420 0.580
H 0.920 0.847 0.580
H 0.153 0.073 0.733
H 0.347 0.767 0.427
H 0.153 0.080 0.920
H 0.420 0.653 0.080
H 0.847 0.920 0.080
H 0.427 0.267 0.347
H 0.233 0.653 0.073
H 0.847 0.927 0.267
H 0.580 0.660 0.427
H 0.080 0.420 0.847
H 0.420 0.767 0.840
H 0.160 0.427 0.080
H 0.573 0.733 0.653
H 0.080 0.660 0.733
H 0.920 0.073 0.840
H 0.347 0.580 0.420
H 0.840 0.267 0.420
H 0.580 0.233 0.160
H 0.660 0.080 0.233
H 0.420 0.340 0.573
H 0.160 0.733 0.580
H 0.767 0.420 0.340
H 0.733 0.573 0.153
H 0.420 0.080 0.347
H 0.927 0.847 0.767
H 0.580 0.347 0.920
H 0.840 0.573 0.920
H 0.660 0.580 0.927
H 0.733 0.160 0.080
H 0.653 0.233 0.573
H 0.427 0.160 0.580
H 0.573 0.840 0.420
H 0.267 0.840 0.920
H 0.920 0.580 0.153
H 0.233 0.580 0.660
H 0.340 0.920 0.767
H 0.080 0.927 0.160
H 0.073 0.153 0.233
H 0.920 0.340 0.267
H 0.927 0.080 0.660
H 0.580 0.920 0.653
H 0.340 0.420 0.073
H 0.767 0.347 0.927
Mo 0.375 0.625 0.250
Mo 0.750 0.875 0.625
Mo 0.375 0.750 0.625
Mo 0.125 0.250 0.875
Mo 0.625 0.375 0.750
Mo 0.250 0.625 0.875
Mo 0.875 0.125 0.250
Mo 0.750 0.375 0.125
Mo 0.250 0.125 0.375
Mo 0.625 0.250 0.375
Mo 0.875 0.750 0.125
Mo 0.125 0.875 0.750



No. 2
First-principles (PBE-GGA) data for a geometry-optimized HfMoH3 structure, as listed in Alexandria.

Excess energy over the best structure of this formula in the dataset (meV/atom): 485.4
Total DFT energy (no corrections) (eV/f.u.): -29.108
Mass density (g/cm3): 9.77
Space group: Pm-3m (221)

abc: 3.613 3.613 3.613
angles: 90.00 90.00 90.00
Element x y z (fractional)
H 0.500 0.000 0.000
H 0.000 0.500 0.000
H 0.000 0.000 0.500
Mo 0.500 0.500 0.500
Hf 0.000 0.000 0.000



No. 3
First-principles (PBE-GGA) data for a geometry-optimized Hf2MoH structure, as listed in Alexandria.

Excess energy over the best structure of this formula in the dataset (meV/atom): 478.4
Total DFT energy (no corrections) (eV/f.u.): -32.139
Mass density (g/cm3): 11.34
Space group: Fm-3m (225)

abc: 4.546 4.546 4.546
angles: 60.00 60.00 60.00
Element x y z (fractional)
Mo 0.500 0.500 0.500
Hf 0.250 0.250 0.250
Hf 0.750 0.750 0.750
H 0.000 0.000 0.000



No. 4
First-principles (PBE-GGA) data for a geometry-optimized Hf2MoH structure, as listed in Alexandria.

Excess energy over the best structure of this formula in the dataset (meV/atom): 0.0
Total DFT energy (no corrections) (eV/f.u.): -34.052
Mass density (g/cm3): 12.13
Space group: R-3m (166)

abc: 3.258 3.258 7.016
angles: 76.57 76.57 60.00
Element x y z (fractional)
Hf 0.766 0.766 0.701
Hf 0.234 0.234 0.299
Mo 0.000 0.000 0.000
H 0.500 0.500 0.500



No. 5
First-principles (PBE-GGA) data for a geometry-optimized Hf2MoH structure, as listed in Alexandria.

Excess energy over the best structure of this formula in the dataset (meV/atom): 148.4
Total DFT energy (no corrections) (eV/f.u.): -33.458
Mass density (g/cm3): 11.81
Space group: I-42d (122)

abc: 6.311 6.311 5.494
angles: 54.95 54.95 90.00
Element x y z (fractional)
Hf 0.208 0.625 0.250
Hf 0.542 0.125 0.250
Hf 0.375 0.458 0.750
Hf 0.875 0.792 0.750
H 0.250 0.750 0.500
H 0.500 0.500 0.000
Mo 0.000 0.000 0.000
Mo 0.750 0.250 0.500



No. 6
First-principles (PBE-GGA) data for a geometry-optimized Hf2MoH structure, as listed in Alexandria.

Excess energy over the best structure of this formula in the dataset (meV/atom): 289.0
Total DFT energy (no corrections) (eV/f.u.): -32.896
Mass density (g/cm3): 11.38
Space group: P4/mmm (123)

abc: 3.205 3.205 6.449
angles: 90.00 90.00 90.00
Element x y z (fractional)
Hf 0.000 0.000 0.752
Hf 0.000 0.000 0.248
H 0.500 0.500 0.000
Mo 0.500 0.500 0.500



No. 7
First-principles (PBE-GGA) data for a geometry-optimized HfMo2H2 structure, as listed in Alexandria.

Total DFT energy (no corrections) (eV/f.u.): -38.779
Mass density (g/cm3): 10.66
Space group: I4/mmm (139)

abc: 3.369 3.369 5.636
angles: 72.61 72.61 90.00
Element x y z (fractional)
Hf 0.000 0.000 0.000
H 0.250 0.750 0.500
H 0.750 0.250 0.500
Mo 0.664 0.664 0.673
Mo 0.336 0.336 0.327



No. 8
First-principles (PBE-GGA) data for a geometry-optimized Hf2NiMoH structure, as listed in Alexandria.

Excess energy over the best structure of this formula in the dataset (meV/atom): 71.2
Total DFT energy (no corrections) (eV/f.u.): -40.956
Mass density (g/cm3): 11.77
Space group: P4/mmm (123)

abc: 4.562 4.562 3.477
angles: 90.00 90.00 90.00
Element x y z (fractional)
Hf 0.000 0.500 0.000
Hf 0.500 0.000 0.000
Ni 0.500 0.500 0.500
H 0.000 0.000 0.000
Mo 0.000 0.000 0.500



No. 9
First-principles (PBE-GGA) data for a geometry-optimized Hf2NiMoH structure, as listed in Alexandria.

Excess energy over the best structure of this formula in the dataset (meV/atom): 0.0
Total DFT energy (no corrections) (eV/f.u.): -41.312
Mass density (g/cm3): 12.03
Space group: P4/mmm (123)

abc: 4.586 4.586 3.363
angles: 90.00 90.00 90.00
Element x y z (fractional)
Mo 0.500 0.500 0.500
Hf 0.000 0.500 0.000
Hf 0.500 0.000 0.000
Ni 0.000 0.000 0.500
H 0.000 0.000 0.000



No. 10
First-principles (PBE-GGA) data for a geometry-optimized Hf2NiMoH structure, as listed in Alexandria.

Excess energy over the best structure of this formula in the dataset (meV/atom): 935.6
Total DFT energy (no corrections) (eV/f.u.): -36.634
Mass density (g/cm3): 10.09
Space group: P4/mmm (123)

abc: 5.025 3.343 5.025
angles: 90.00 90.00 90.00
Element x y z (fractional)
Ni 0.500 0.500 0.500
Hf 0.000 0.000 0.500
Hf 0.500 0.000 0.000
H 0.000 0.500 0.000
Mo 0.000 0.000 0.000



No. 11
First-principles (PBE-GGA) data for a geometry-optimized HfMoH2Pd structure, as listed in Alexandria.

Total DFT energy (no corrections) (eV/f.u.): -29.948
Mass density (g/cm3): 8.94
Space group: P4/mmm (123)

abc: 3.726 5.122 3.726
angles: 90.00 90.00 90.00
Element x y z (fractional)
H 0.000 0.000 0.500
H 0.500 0.000 0.000
Hf 0.000 0.500 0.000
Pd 0.500 0.500 0.500
Mo 0.000 0.000 0.000



No. 12
First-principles (PBE-GGA) data for a geometry-optimized HfMo2HPt structure, as listed in Alexandria.

Total DFT energy (no corrections) (eV/f.u.): -42.354
Mass density (g/cm3): 13.48
Space group: P4/mmm (123)

abc: 3.939 3.939 4.497
angles: 90.00 90.00 90.00
Element x y z (fractional)
H 0.000 0.000 0.000
Mo 0.500 0.000 0.000
Mo 0.000 0.500 0.000
Pt 0.500 0.500 0.500
Hf 0.000 0.000 0.500



No. 13
First-principles (PBE-GGA) data for a geometry-optimized Hf2MoHPt structure, as listed in Alexandria.

Total DFT energy (no corrections) (eV/f.u.): -42.824
Mass density (g/cm3): 14.36
Space group: P4/mmm (123)

abc: 4.602 4.602 3.544
angles: 90.00 90.00 90.00
Element x y z (fractional)
Mo 0.000 0.000 0.500
Hf 0.500 0.000 0.000
Hf 0.000 0.500 0.000
Pt 0.500 0.500 0.500
H 0.000 0.000 0.000



No. 14
First-principles (PBE-GGA) data for a geometry-optimized Hf2ReMoH structure, as listed in Alexandria.

Total DFT energy (no corrections) (eV/f.u.): -47.506
Mass density (g/cm3): 14.28
Space group: P4/mmm (123)

abc: 4.622 4.622 3.484
angles: 90.00 90.00 90.00
Element x y z (fractional)
Hf 0.000 0.500 0.000
Hf 0.500 0.000 0.000
Re 0.500 0.500 0.500
Mo 0.000 0.000 0.500
H 0.000 0.000 0.000



No. 15
First-principles (PBE-GGA) data for a geometry-optimized HfMoHRu2 structure, as listed in Alexandria.

Excess energy over the best structure of this formula in the dataset (meV/atom): 0.0
Total DFT energy (no corrections) (eV/f.u.): -43.223
Mass density (g/cm3): 12.01
Space group: P4/mmm (123)

abc: 4.084 4.084 3.957
angles: 90.00 90.00 90.00
Element x y z (fractional)
Ru 0.500 0.000 0.000
Ru 0.000 0.500 0.000
H 0.000 0.000 0.000
Mo 0.000 0.000 0.500
Hf 0.500 0.500 0.500



No. 16
First-principles (PBE-GGA) data for a geometry-optimized HfMoHRu2 structure, as listed in Alexandria.

Excess energy over the best structure of this formula in the dataset (meV/atom): 572.1
Total DFT energy (no corrections) (eV/f.u.): -40.363
Mass density (g/cm3): 10.36
Space group: P4/mmm (123)

abc: 4.828 3.283 4.828
angles: 90.00 90.00 90.00
Element x y z (fractional)
Hf 0.500 0.500 0.500
H 0.000 0.500 0.000
Mo 0.000 0.000 0.000
Ru 0.000 0.000 0.500
Ru 0.500 0.000 0.000



No. 17
First-principles (PBE-GGA) data for a geometry-optimized HfMoHRu2 structure, as listed in Alexandria.

Excess energy over the best structure of this formula in the dataset (meV/atom): 28.5
Total DFT energy (no corrections) (eV/f.u.): -43.081
Mass density (g/cm3): 12.04
Space group: P4/mmm (123)

abc: 4.035 4.035 4.047
angles: 90.00 90.00 90.00
Element x y z (fractional)
Mo 0.500 0.500 0.500
Ru 0.500 0.000 0.000
Ru 0.000 0.500 0.000
Hf 0.000 0.000 0.500
H 0.000 0.000 0.000



No. 18
First-principles (PBE-GGA) data for a geometry-optimized HfMoH2S structure, as listed in Alexandria.

Total DFT energy (no corrections) (eV/f.u.): -27.651
Mass density (g/cm3): 7.54
Space group: P4/mmm (123)

abc: 3.767 4.787 3.767
angles: 90.00 90.00 90.00
Element x y z (fractional)
S 0.000 0.000 0.000
H 0.000 0.000 0.500
H 0.500 0.000 0.000
Mo 0.000 0.500 0.000
Hf 0.500 0.500 0.500



No. 19
First-principles (PBE-GGA) data for a geometry-optimized Hf2SbMoH structure, as listed in Alexandria.

Excess energy over the best structure of this formula in the dataset (meV/atom): 0.0
Total DFT energy (no corrections) (eV/f.u.): -39.328
Mass density (g/cm3): 11.96
Space group: P4/mmm (123)

abc: 4.442 4.442 4.052
angles: 90.00 90.00 90.00
Element x y z (fractional)
Sb 0.500 0.500 0.500
Hf 0.500 0.000 0.000
Hf 0.000 0.500 0.000
H 0.000 0.000 0.000
Mo 0.000 0.000 0.500



No. 20
First-principles (PBE-GGA) data for a geometry-optimized Hf2SbMoH structure, as listed in Alexandria.

Excess energy over the best structure of this formula in the dataset (meV/atom): 611.5
Total DFT energy (no corrections) (eV/f.u.): -36.271
Mass density (g/cm3): 10.13
Space group: P4/mmm (123)

abc: 5.184 3.513 5.184
angles: 90.00 90.00 90.00
Element x y z (fractional)
Hf 0.500 0.000 0.000
Hf 0.000 0.000 0.500
Sb 0.500 0.500 0.500
H 0.000 0.500 0.000
Mo 0.000 0.000 0.000



No. 21
First-principles (PBE-GGA) data for a geometry-optimized HfMoH2Se structure, as listed in Alexandria.

Total DFT energy (no corrections) (eV/f.u.): -29.792
Mass density (g/cm3): 7.64
Space group: P4/mmm (123)

abc: 3.727 5.560 3.727
angles: 90.00 90.00 90.00
Each line ends with the local moment (μB).
Element x y z (fractional)
Se 0.500 0.500 0.500  0.11
Mo 0.000 0.000 0.000  1.86
Hf 0.000 0.500 0.000  -0.11
H 0.500 0.000 0.000  -0.01
H 0.000 0.000 0.500  -0.02



No. 22
First-principles (PBE-GGA) data for a geometry-optimized Hf2SnMoH structure, as listed in Alexandria.

Total DFT energy (no corrections) (eV/f.u.): -39.234
Mass density (g/cm3): 11.80
Space group: P4/mmm (123)

abc: 4.522 4.522 3.940
angles: 90.00 90.00 90.00
Element x y z (fractional)
Sn 0.500 0.500 0.500
Hf 0.000 0.500 0.000
Hf 0.500 0.000 0.000
Mo 0.000 0.000 0.500
H 0.000 0.000 0.000



No. 23
First-principles (PBE-GGA) data for a geometry-optimized Hf2TcMoH structure, as listed in Alexandria.

Total DFT energy (no corrections) (eV/f.u.): -45.659
Mass density (g/cm3): 12.33
Space group: P4/mmm (123)

abc: 4.623 4.623 3.478
angles: 90.00 90.00 90.00
Element x y z (fractional)
Hf 0.000 0.500 0.000
Hf 0.500 0.000 0.000
H 0.000 0.000 0.000
Tc 0.500 0.500 0.500
Mo 0.000 0.000 0.500



No. 24
First-principles (PBE-GGA) data for a geometry-optimized HfTi2MoH structure, as listed in Alexandria.

Excess energy over the best structure of this formula in the dataset (meV/atom): 0.0
Total DFT energy (no corrections) (eV/f.u.): -40.022
Mass density (g/cm3): 8.41
Space group: P4/mmm (123)

abc: 3.963 3.963 4.668
angles: 90.00 90.00 90.00
Each line ends with the local moment (μB).
Element x y z (fractional)
Hf 0.500 0.500 0.500  0.06
Ti 0.500 0.000 0.000  0.39
Ti 0.000 0.500 0.000  0.39
H 0.000 0.000 0.000  0.00
Mo 0.000 0.000 0.500  0.01



No. 25
First-principles (PBE-GGA) data for a geometry-optimized HfTi2MoH structure, as listed in Alexandria.

Excess energy over the best structure of this formula in the dataset (meV/atom): 23.4
Total DFT energy (no corrections) (eV/f.u.): -39.905
Mass density (g/cm3): 8.42
Space group: P4/mmm (123)

abc: 4.346 4.346 3.874
angles: 90.00 90.00 90.00
Element x y z (fractional)
Ti 0.500 0.000 0.000
Ti 0.000 0.500 0.000
Mo 0.500 0.500 0.500
H 0.000 0.000 0.000
Hf 0.000 0.000 0.500